No. 1
Compound: Tb2InRh3
Source: Alexandria via LeMat-Bulk
Functional: GGA-PBE
Structure: optimized geometry

- Symmetry: P-3m1, No. 164
- Distance to the lowest polymorph of the same formula: 0.000 eV/atom
- DFT total energy: -6.4441 eV/atom

Cell lengths 4.763, 4.763, 11.657 Å; angles 90.00, 90.00, 120.00 degrees
Atoms (fractional coordinates):
Tb  0.000  0.000  0.500
Tb  0.333  0.667  0.179
Tb  0.667  0.333  0.821
Tb  0.000  0.000  0.000
In  0.333  0.667  0.665
In  0.667  0.333  0.335
Rh  0.333  0.667  0.421
Rh  0.667  0.333  0.085
Rh  0.000  0.000  0.748
Rh  0.000  0.000  0.252
Rh  0.333  0.667  0.915
Rh  0.667  0.333  0.579

No. 2
Compound: Tb5In4Rh
Source: Alexandria via LeMat-Bulk
Functional: GGA-PBE
Structure: optimized geometry

- Symmetry: P4/mmm, No. 123
- DFT total energy: -4.7070 eV/atom

Cell lengths 3.512, 3.512, 20.673 Å; angles 90.00, 90.00, 90.00 degrees
Atoms (fractional coordinates):
Tb  0.500  0.500  0.081
Tb  0.500  0.500  0.292
Tb  0.500  0.500  0.500
Tb  0.500  0.500  0.708
Tb  0.500  0.500  0.919
In  0.000  0.000  0.188
In  0.000  0.000  0.396
In  0.000  0.000  0.604
In  0.000  0.000  0.812
Rh  0.000  0.000  0.000

Number 1: energy of formation from the pure elements -0.7686 eV per atom, V 229.0 Å³ per cell. Number 2: energy of formation from the pure elements -0.5614 eV per atom, V 255.0 Å³ per cell.